Here is a relaxed structure of Rb2AsO3 from the Alexandria database. Energies are from PBE.

Output
**Relative energy among the computed polymorphs**: 0 meV/atom
**Raw formation energy**: -1333 meV per atom

Cell: 6.401 6.406 7.298 Å, 90.00 90.00 119.98°
Positions (direct):
Rb 0.667 0.333 0.000
Rb 0.667 0.333 0.500
Rb 0.333 0.667 0.500
Rb 0.333 0.667 0.000
O 0.727 0.727 0.250
O 0.274 0.000 0.250
O 0.273 0.273 0.750
O 0.999 0.727 0.750
O 0.726 0.000 0.750
O 0.001 0.273 0.250
As 0.000 0.000 0.250
As 0.000 0.000 0.750